Computed, not measured: a relaxed TmCr2BiO8 crystal at the PBE with a Hubbard U level of DFT.

a b c (Å): 6.038 6.038 6.038
angles (deg): 106.00 106.00 116.65
Last column: magnetic moment on the atom in μB.
Sites, in units of the cell vectors:
Tm1 0.250 0.750 0.500  0.03
Cr1 0.750 0.250 0.500  1.13
Cr2 0.500 0.500 0.000  1.12
Bi1 0.000 0.000 0.000  0.04
O1 0.392 0.071 0.322  -0.04
O2 0.331 0.518 0.187  -0.04
O3 0.331 0.144 0.813  -0.04
O4 0.749 0.071 0.678  -0.04
O5 0.856 0.669 0.187  -0.04
O6 0.929 0.251 0.322  -0.04
O7 0.929 0.608 0.678  -0.04
O8 0.482 0.669 0.813  -0.04

## Properties
The total energy is -7.0574 eV per atom. The symmetry is No. 119. As for the density of states at the Fermi level: 0.071 states/eV/atom.